Density functional theory data (GGA+U) for a relaxed structure of YMoBrO4.

Output
Uncorrected energy in eV/atom: -7.190
Crystal system: monoclinic
Magnetic moment in μB per cell: 0.0
Symmetry: No. 12
Calculated volume in Å³/atom: 18.45

Cell: 6.4222 6.4222 6.9902 Å, 76.14 76.14 69.50°
Atoms (fractional coordinates):
Y 0.2298 0.2298 0.8806
Y 0.7702 0.7702 0.1194
Mo 0.6361 0.6361 0.7335
Mo 0.3639 0.3639 0.2665
Br 0.0119 0.0119 0.2436
Br 0.9881 0.9881 0.7564
O 0.2980 0.2980 0.5307
O 0.7020 0.7020 0.4693
O 0.1122 0.4932 0.1514
O 0.5403 0.5403 0.2009
O 0.5068 0.8878 0.8486
O 0.4932 0.1122 0.1514
O 0.4597 0.4597 0.7991
O 0.8878 0.5068 0.8486